# 1
# TbSmEu2

A geometry-optimized TbSmEu2 structure (GGA-PBE, Alexandria via LeMat-Bulk).

Unit cell a=3.6889 b=3.6889 c=12.4178 alpha=81.46 beta=81.46 gamma=60.00
Each line ends with the local moment (μB).
Fractional coordinates of all 4 atoms:
Eu: 0.2493 0.2493 0.2520  -6.95
Eu: 0.7507 0.7507 0.7480  -6.95
Sm: 0.0000 0.0000 0.0000  -0.06
Tb: 0.5000 0.5000 0.5000  -0.18

Calculated values
Offset from the most stable computed form   0 meV/atom
Space-group type   No. 166
VASP energy   -7.38 eV/atom

---

# 2
# TbSmEu

A geometry-optimized TbSmEu structure (GGA-PBE, Alexandria via LeMat-Bulk).

Unit cell a=3.6707 b=3.6707 c=9.0129 alpha=90.00 beta=90.00 gamma=120.00
Each line ends with the local moment (μB).
Fractional coordinates of all 3 atoms:
Eu: 0.0000 0.0000 0.9980  6.99
Sm: 0.6667 0.3333 0.3452  -0.04
Tb: 0.3333 0.6667 0.6568  -0.04

Calculated values
Space-group type   No. 156
VASP energy   -6.50 eV/atom

---

# 3
# TbSmEu2

A geometry-optimized TbSmEu2 structure (GGA-PBE, Alexandria via LeMat-Bulk).

Unit cell a=5.8895 b=5.8895 c=5.8895 alpha=60.00 beta=60.00 gamma=60.00
Each line ends with the local moment (μB).
Fractional coordinates of all 4 atoms:
Eu: 0.7500 0.7500 0.7500  -6.85
Eu: 0.2500 0.2500 0.2500  -6.85
Tb: 0.0000 0.0000 0.0000  -0.10
Sm: 0.5000 0.5000 0.5000  -0.07

Calculated values
Offset from the most stable computed form   61 meV/atom
Space-group type   No. 225
VASP energy   -7.32 eV/atom

---

# 4
# TbSmEu

A geometry-optimized TbSmEu structure (GGA-PBE, Alexandria via LeMat-Bulk).

Unit cell a=3.6802 b=3.6802 c=8.2223 alpha=102.93 beta=102.93 gamma=90.00
Each line ends with the local moment (μB).
Fractional coordinates of all 3 atoms:
Sm: 0.6748 0.6748 0.3495  0.06
Eu: 0.9992 0.9992 0.9985  -6.96
Tb: 0.3260 0.3260 0.6520  0.06

Calculated values
Space-group type   No. 107
VASP energy   -6.50 eV/atom

---

The records above give, respectively, ΔH_f (0 K) values of 0.4, 0.1, 0.6, 0.1 eV/f.u..